Computed, not measured: an optimized crystal structure of TlInHgCl6 at the GGA-PBE level of DFT.

Calculated values
Raw formation energy: -924 meV per atom

```
data_TlInHgCl6
_cell_length_a 6.8799
_cell_length_b 6.8799
_cell_length_c 7.0113
_cell_angle_alpha 90.00
_cell_angle_beta 90.00
_cell_angle_gamma 120.00
_symmetry_space_group_name_H-M 'P 3 1 2'
_symmetry_Int_Tables_number 149
loop_
_symmetry_equiv_pos_as_xyz
'x,y,z'
'-y,x-y,z'
'-x+y,-x,z'
'-y,-x,-z'
'-x+y,y,-z'
'x,x-y,-z'
loop_
_atom_site_label
_atom_site_fract_x
_atom_site_fract_y
_atom_site_fract_z
Tl1 0.0000 0.0000 0.0000
In1 0.3333 0.6667 0.5000
Hg1 0.6667 0.3333 0.5000
Cl1 0.0171 0.3787 0.2872
```

Computed, not measured: an optimized crystal structure of UInHgCl6 at the GGA-PBE level of DFT.

Calculated values
Raw formation energy: -1299 meV per atom

```
data_UInHgCl6
_cell_length_a 7.8075
_cell_length_b 7.8075
_cell_length_c 15.0206
_cell_angle_alpha 90.00
_cell_angle_beta 90.00
_cell_angle_gamma 120.00
_symmetry_space_group_name_H-M 'P -3 1 c'
_symmetry_Int_Tables_number 163
_symmetry_space_group_name_Hall '-P 3 2c'
loop_
_atom_site_label
_atom_site_fract_x
_atom_site_fract_y
_atom_site_fract_z
U1 0.3333 0.6667 0.2500
In1 0.3333 0.6667 0.7500
Hg1 0.0000 0.0000 0.0000
Cl1 0.0592 0.4059 0.1533
```

Computed, not measured: an optimized crystal structure of Zn2In2HgCl6 at the GGA-PBE level of DFT.

Calculated values
Raw formation energy: -900 meV per atom

```
data_Zn2In2HgCl6
_cell_length_a 7.045
_cell_length_b 7.791
_cell_length_c 7.943
_cell_angle_alpha 80.78
_cell_angle_beta 73.27
_cell_angle_gamma 76.64
_symmetry_space_group_name_H-M 'P -1'
_symmetry_Int_Tables_number 2
loop_
_symmetry_equiv_pos_as_xyz
'x,y,z'
'-x,-y,-z'
loop_
_atom_site_label
_atom_site_fract_x
_atom_site_fract_y
_atom_site_fract_z
Zn1 0.001 0.350 0.171
In1 0.488 0.732 0.230
Hg1 0.500 0.000 0.500
Cl1 0.193 0.576 0.044
Cl2 0.213 0.092 0.121
Cl3 0.218 0.571 0.577
```

Computed, not measured: an optimized crystal structure of ZnInHg2Cl at the GGA-PBE level of DFT.

Calculated values
Raw formation energy: -147 meV per atom

```
data_ZnInHg2Cl
_cell_length_a 5.154
_cell_length_b 5.154
_cell_length_c 5.599
_cell_angle_alpha 90.00
_cell_angle_beta 90.00
_cell_angle_gamma 90.00
_symmetry_space_group_name_H-M 'P 4/m m m'
_symmetry_Int_Tables_number 123
_symmetry_space_group_name_Hall '-P 4 2'
loop_
_atom_site_label
_atom_site_fract_x
_atom_site_fract_y
_atom_site_fract_z
Zn1 0.000 0.000 0.000
In1 0.000 0.000 0.500
Hg1 0.000 0.500 0.000
Cl1 0.500 0.500 0.500
```

Computed, not measured: an optimized crystal structure of ZrIn2Hg2Cl6 at the GGA-PBE level of DFT.

Calculated values
Raw formation energy: -1115 meV per atom

```
data_ZrIn2Hg2Cl6
_cell_length_a 7.056
_cell_length_b 16.060
_cell_length_c 6.838
_cell_angle_alpha 90.00
_cell_angle_beta 101.07
_cell_angle_gamma 90.00
_symmetry_space_group_name_H-M 'C 1 2/m 1'
_symmetry_Int_Tables_number 12
loop_
_symmetry_equiv_pos_as_xyz
'x,y,z'
'-x,-y,-z'
'-x,y,-z'
'x,-y,z'
'x+1/2,y+1/2,z'
'-x+1/2,-y+1/2,-z'
'-x+1/2,y+1/2,-z'
'x+1/2,-y+1/2,z'
loop_
_atom_site_label
_atom_site_fract_x
_atom_site_fract_y
_atom_site_fract_z
Zr1 0.000 0.000 0.000
In1 0.000 0.349 0.000
Hg1 0.000 0.306 0.500
Cl1 0.092 0.110 0.782
Cl2 0.157 0.500 0.806
```

Computed, not measured: an optimized crystal structure of ZrIn2HgCl at the GGA-PBE level of DFT.

Calculated values
Raw formation energy: -6 meV per atom

```
data_ZrIn2HgCl
_cell_length_a 5.843
_cell_length_b 5.843
_cell_length_c 4.964
_cell_angle_alpha 90.00
_cell_angle_beta 90.00
_cell_angle_gamma 90.00
_symmetry_space_group_name_H-M 'P 4/m m m'
_symmetry_Int_Tables_number 123
_symmetry_space_group_name_Hall '-P 4 2'
loop_
_atom_site_label
_atom_site_fract_x
_atom_site_fract_y
_atom_site_fract_z
Zr1 0.000 0.000 0.000
In1 0.000 0.500 0.000
Hg1 0.500 0.500 0.500
Cl1 0.000 0.000 0.500
```

Computed, not measured: an optimized crystal structure of ZrIn3Hg2Cl6 at the GGA-PBE level of DFT.

Calculated values
Raw formation energy: -974 meV per atom

```
data_ZrIn3Hg2Cl6
_cell_length_a 16.360
_cell_length_b 7.209
_cell_length_c 7.124
_cell_angle_alpha 90.00
_cell_angle_beta 92.45
_cell_angle_gamma 90.00
_symmetry_space_group_name_H-M 'C 1 2/m 1'
_symmetry_Int_Tables_number 12
loop_
_symmetry_equiv_pos_as_xyz
'x,y,z'
'-x,-y,-z'
'-x,y,-z'
'x,-y,z'
'x+1/2,y+1/2,z'
'-x+1/2,-y+1/2,-z'
'-x+1/2,y+1/2,-z'
'x+1/2,-y+1/2,z'
loop_
_atom_site_label
_atom_site_fract_x
_atom_site_fract_y
_atom_site_fract_z
Zr1 0.000 0.000 0.000
In1 0.000 0.500 0.500
In2 0.250 0.250 0.000
Hg1 0.166 0.500 0.314
Cl1 0.074 0.243 0.822
Cl2 0.114 0.000 0.241
```

Computed, not measured: an optimized crystal structure of ZrInHgCl6 at the GGA-PBE level of DFT.

Calculated values
Raw formation energy: -1211 meV per atom

```
data_ZrInHgCl6
_cell_length_a 7.310
_cell_length_b 12.704
_cell_length_c 6.467
_cell_angle_alpha 90.00
_cell_angle_beta 90.12
_cell_angle_gamma 90.00
_symmetry_space_group_name_H-M 'C 1 2 1'
_symmetry_Int_Tables_number 5
loop_
_symmetry_equiv_pos_as_xyz
'x,y,z'
'-x,y,-z'
'x+1/2,y+1/2,z'
'-x+1/2,y+1/2,-z'
loop_
_atom_site_label
_atom_site_fract_x
_atom_site_fract_y
_atom_site_fract_z
Zr1 0.000 0.000 0.000
In1 0.000 0.334 0.500
Hg1 0.000 0.667 0.000
Cl1 0.132 0.858 0.776
Cl2 0.147 0.137 0.776
Cl3 0.220 0.505 0.776
```

Computed, not measured: an optimized crystal structure of HgIrCl at the GGA-PBE level of DFT.

Calculated values
Raw formation energy: 598 meV per atom

```
data_HgIrCl
_cell_length_a 3.2317
_cell_length_b 3.2317
_cell_length_c 6.4020
_cell_angle_alpha 90.00
_cell_angle_beta 90.00
_cell_angle_gamma 120.00
_symmetry_space_group_name_H-M 'P 3 m 1'
_symmetry_Int_Tables_number 156
loop_
_symmetry_equiv_pos_as_xyz
'x,y,z'
'-y,x-y,z'
'-x+y,-x,z'
'-y,-x,z'
'-x+y,y,z'
'x,x-y,z'
loop_
_atom_site_label
_atom_site_fract_x
_atom_site_fract_y
_atom_site_fract_z
Hg1 0.0000 0.0000 0.0000
Ir1 0.3333 0.6667 0.3274
Cl1 0.6667 0.3333 0.6037
```

Computed, not measured: an optimized crystal structure of HgIrCl2 at the GGA-PBE level of DFT.

Calculated values
Raw formation energy: 861 meV per atom

```
data_HgIrCl2
_cell_length_a 4.557
_cell_length_b 4.557
_cell_length_c 7.580
_cell_angle_alpha 90.00
_cell_angle_beta 90.00
_cell_angle_gamma 90.00
_symmetry_space_group_name_H-M 'I 4/m m m'
_symmetry_Int_Tables_number 139
_symmetry_space_group_name_Hall '-I 4 2'
loop_
_atom_site_label
_atom_site_fract_x
_atom_site_fract_y
_atom_site_fract_z
Hg1 0.000 0.000 0.000
Ir1 0.000 0.000 0.500
Cl1 0.000 0.500 0.250
```

Computed, not measured: an optimized crystal structure of HgIrCl2 at the GGA-PBE level of DFT.

Calculated values
Raw formation energy: 115 meV per atom

```
data_HgIrCl2
_cell_length_a 3.6217
_cell_length_b 3.6217
_cell_length_c 24.1239
_cell_angle_alpha 90.00
_cell_angle_beta 90.00
_cell_angle_gamma 120.00
_symmetry_space_group_name_H-M 'R 3 m'
_symmetry_Int_Tables_number 160
_symmetry_space_group_name_Hall 'R 3 -2"'
loop_
_atom_site_label
_atom_site_fract_x
_atom_site_fract_y
_atom_site_fract_z
Hg1 0.0000 0.0000 0.0000
Ir1 0.0000 0.0000 0.7436
Cl1 0.0000 0.0000 0.2608
Cl2 0.0000 0.0000 0.4608
```

Computed, not measured: an optimized crystal structure of HgIrCl2 at the GGA-PBE level of DFT.

Calculated values
Raw formation energy: 272 meV per atom

```
data_HgIrCl2
_cell_length_a 7.226
_cell_length_b 7.226
_cell_length_c 10.228
_cell_angle_alpha 90.00
_cell_angle_beta 90.00
_cell_angle_gamma 90.00
_symmetry_space_group_name_H-M 'I -4 2 d'
_symmetry_Int_Tables_number 122
_symmetry_space_group_name_Hall 'I -4 2bw'
loop_
_atom_site_label
_atom_site_fract_x
_atom_site_fract_y
_atom_site_fract_z
Hg1 0.000 0.000 0.000
Ir1 0.000 0.000 0.500
Cl1 0.088 0.250 0.625
```